! Zn2AsOs (PBE, relaxed); values from VASP
! ρ   10.491 g/cm3
! DFT total energy   -0.1566 Ha/atom
&SYSTEM
  ibrav = 0, nat = 4, ntyp = 3
/
ATOMIC_SPECIES
As 74.92 As.upf
Os 190.23 Os.upf
Zn 65.41 Zn.upf
ATOMIC_POSITIONS crystal
As 0.5000 0.2500 0.2500
Os 0.5000 0.7500 0.7500
Zn 0.0000 0.0187 0.9911
Zn 0.0000 0.4813 0.5089
CELL_PARAMETERS angstrom
4.8932 0.0000 0.0000
0.0000 2.9166 -0.0196
0.0000 -0.6168 4.3959


! ZnAsOs2 (PBE, relaxed); values from VASP
! ρ   14.252 g/cm3
! DFT total energy   -0.2396 Ha/atom
&SYSTEM
  ibrav = 0, nat = 4, ntyp = 3
/
ATOMIC_SPECIES
As 74.92 As.upf
Os 190.23 Os.upf
Zn 65.41 Zn.upf
ATOMIC_POSITIONS crystal
As 0.5000 0.5000 0.7500
Os 0.0000 0.0000 0.9884
Os 0.0000 0.0000 0.5116
Zn 0.5000 0.5000 0.2500
CELL_PARAMETERS angstrom
-2.3198 1.5958 -0.5739
-0.2028 -2.8593 -0.2021
-2.2749 -0.4084 8.0597


! Zn2AsOs (PBE, relaxed); values from VASP
! ρ   11.150 g/cm3
! DFT total energy   -0.1587 Ha/atom
&SYSTEM
  ibrav = 0, nat = 4, ntyp = 3
/
ATOMIC_SPECIES
As 74.92 As.upf
Os 190.23 Os.upf
Zn 65.41 Zn.upf
ATOMIC_POSITIONS crystal
As 0.2500 0.7500 0.5000
Os 0.7500 0.2500 0.5000
Zn 0.0000 0.0000 0.0000
Zn 0.5000 0.5000 0.0000
CELL_PARAMETERS angstrom
4.9672 0.0085 -0.0320
2.1754 4.4656 0.0320
-3.5539 -2.2648 2.6604